# BaLiCl2, relaxed, DFT PBE
# * offset from the most stable computed form: 558 meV/atom
# * Fermi-level density of states: 5.8 states/eV per cell
# * energy relative to the elements, uncorrected: -26.933 kcal/mol of atoms
data_BaLiCl2
_chemical_formula_sum 'Ba4 Li4 Cl8'
_cell_length_a 7.668
_cell_length_b 7.668
_cell_length_c 7.668
_cell_angle_alpha 90.00
_cell_angle_beta 90.00
_cell_angle_gamma 90.00
_space_group_name_H-M_alt 'F -4 3 m'
_space_group_IT_number 216
_space_group_name_Hall 'F -4 2 3'
loop_
_atom_site_label
_atom_site_fract_x
_atom_site_fract_y
_atom_site_fract_z
Ba1 0.000 0.000 0.000
Li1 0.250 0.250 0.250
Cl1 0.000 0.000 0.500
Cl2 0.250 0.250 0.750